# AcPrSi2Pd2 | the Alexandria database | PBE | relaxed
data_AcPrSi2Pd2
_chemical_formula_sum 'Ac1 Pr1 Si2 Pd2'
_cell_length_a 4.2775
_cell_length_b 4.2775
_cell_length_c 8.7335
_cell_angle_alpha 90.00
_cell_angle_beta 90.00
_cell_angle_gamma 120.00
_symmetry_space_group_name_H-M 'P 1'
_symmetry_Int_Tables_number 1
_symmetry_space_group_name_Hall 'P 1'
loop_
_atom_site_label
_atom_site_type_symbol
_atom_site_fract_x
_atom_site_fract_y
_atom_site_fract_z
Pd1 Pd 0.3333 0.6667 0.7405
Pd2 Pd 0.6667 0.3333 0.2595
Si1 Si 0.6667 0.3333 0.7379
Si2 Si 0.3333 0.6667 0.2621
Pr1 Pr 0.0000 0.0000 0.5000
Ac1 Ac 0.0000 0.0000 0.0000
# - M_tot: 0.0 μB/cell
# - Energy relative to the elements, uncorrected: -0.878 eV/atom

***

# Ac2PrSn4Pd3 | the Alexandria database | PBE | relaxed
data_Ac2PrSn4Pd3
_chemical_formula_sum 'Ac2 Pr1 Sn4 Pd3'
_cell_length_a 4.6192
_cell_length_b 4.6192
_cell_length_c 12.5050
_cell_angle_alpha 90.00
_cell_angle_beta 90.00
_cell_angle_gamma 90.00
_symmetry_space_group_name_H-M 'P 1'
_symmetry_Int_Tables_number 1
_symmetry_space_group_name_Hall 'P 1'
loop_
_atom_site_label
_atom_site_type_symbol
_atom_site_fract_x
_atom_site_fract_y
_atom_site_fract_z
Sn1 Sn 0.5000 0.0000 0.6651
Sn2 Sn 0.0000 0.5000 0.3349
Sn3 Sn 0.5000 0.5000 0.0000
Sn4 Sn 0.0000 0.0000 0.0000
Pr1 Pr 0.5000 0.5000 0.5000
Ac1 Ac 0.0000 0.5000 0.7736
Ac2 Ac 0.5000 0.0000 0.2264
Pd1 Pd 0.0000 0.5000 0.1200
Pd2 Pd 0.5000 0.0000 0.8800
Pd3 Pd 0.0000 0.0000 0.5000
# - M_tot: 0.0 μB/cell
# - Energy relative to the elements: -17.21 kcal/mol of atoms